No. 1
BeReOs: optimized geometry, PBE-GGA.

Properties
- theoretical density (Mg/m³) = 16.2
- magnetic moment (μB/cell) = 0.00
- energy relative to the lowest polymorph listed for this composition (meV per atom) = 480

abc: 6.539 6.297 2.676
angles: 83.08 72.94 23.97
Atoms (fractional coordinates):
Os  0.657  0.657  0.343
Re  0.341  0.341  0.659
Be  0.002  0.002  0.998

***

No. 2
Mn3CoAs2: optimized geometry, PBE-GGA.

Properties
- final energy (eV/atom) = -7.49
- theoretical density (Mg/m³) = 7.7
- magnetic moment (μB/cell) = 8.16

abc: 3.598 3.598 6.185
angles: 90.00 90.00 90.00
Last column: magnetic moment on the atom in μB.
Atoms (fractional coordinates):
As  0.000  0.500  0.739  -0.11
Mn  0.000  0.000  0.000  1.97
Mn  0.000  0.500  0.344  2.92
As  0.500  0.000  0.261  -0.11
Mn  0.500  0.000  0.656  2.92
Co  0.500  0.500  0.000  0.50

***

No. 3
Ho7Tm2Mg2: optimized geometry, PBE-GGA.

Properties
- theoretical density (Mg/m³) = 7.6
- magnetic moment (μB/cell) = 0.00
- energy relative to the lowest polymorph listed for this composition (meV per atom) = 118

abc: 6.629 7.498 7.498
angles: 100.57 104.34 104.34
Atoms (fractional coordinates):
Tm  0.500  0.862  0.138
Ho  0.514  0.329  0.329
Tm  0.500  0.138  0.862
Ho  0.486  0.671  0.671
Mg  0.971  0.656  0.656
Ho  0.201  0.928  0.424
Ho  0.000  0.000  0.000
Ho  0.799  0.072  0.576
Ho  0.799  0.576  0.072
Mg  0.029  0.344  0.344
Ho  0.201  0.424  0.928

***

No. 4
BaRe4Mo: optimized geometry, PBE-GGA.

Properties
- final energy (eV/atom) = -9.48
- theoretical density (Mg/m³) = 14.6
- magnetic moment (μB/cell) = 0.00

abc: 5.403 5.403 5.403
angles: 60.00 60.00 60.00
Atoms (fractional coordinates):
Re  0.374  0.374  0.374
Re  0.877  0.374  0.374
Re  0.374  0.877  0.374
Ba  0.750  0.750  0.750
Re  0.374  0.374  0.877
Mo  0.000  0.000  0.000

***

No. 5
ReP2Br: optimized geometry, PBE-GGA.

Properties
- theoretical density (Mg/m³) = 8.7
- magnetic moment (μB/cell) = 0.00
- energy relative to the lowest polymorph listed for this composition (meV per atom) = 1086

abc: 4.457 4.457 4.457
angles: 60.00 60.00 60.00
Atoms (fractional coordinates):
Re  0.500  0.500  0.500
P  0.250  0.250  0.250
P  0.750  0.750  0.750
Br  0.000  0.000  0.000

***

No. 6
Pr2Sm2Ga4Si: optimized geometry, PBE-GGA.

Properties
- final energy (eV/atom) = -4.41
- theoretical density (Mg/m³) = 6.6
- magnetic moment (μB/cell) = 0.00

abc: 6.712 6.712 6.712
angles: 97.04 116.02 116.02
Atoms (fractional coordinates):
Ga  0.000  0.756  0.244
Si  0.000  0.000  0.000
Ga  0.513  0.756  0.756
Ga  0.487  0.244  0.244
Pr  0.500  0.250  0.750
Sm  0.000  0.692  0.692
Pr  0.500  0.750  0.250
Ga  0.000  0.244  0.756
Sm  0.000  0.308  0.308

***

> Which of these has the highest theoretical density?

BeReOs

***

Repeat the fifth record exactly.
ReP2Br: optimized geometry, PBE-GGA.

Properties
- theoretical density (Mg/m³) = 8.7
- magnetic moment (μB/cell) = 0.00
- energy relative to the lowest polymorph listed for this composition (meV per atom) = 1086

abc: 4.457 4.457 4.457
angles: 60.00 60.00 60.00
Atoms (fractional coordinates):
Re  0.500  0.500  0.500
P  0.250  0.250  0.250
P  0.750  0.750  0.750
Br  0.000  0.000  0.000

***

> Look up the magnetic moment of the first one.

0.00 μB/cell

***

> Which value of magnetic moment does entry 5 give?

0.00 μB/cell